1.
TbTmZrSc | Alexandria via LeMat-Bulk | GGA-PBE | optimized geometry; spin magnetization = 0.0 μB per cell; calculated volume = 107.28 Å³ per cell; SG = I-4m2, No. 119; formation energy from the elements = 0.075 eV per atom; distance to the lowest polymorph of the same formula = 0 meV/atom
1.0
-0.1873 -2.9467 -3.7219
2.0196 -3.4203 2.6063
-5.2144 1.7035 1.9457
Sc Tb Zr Tm
1 1 1 1
Cartesian
-0.1137 -3.5382 -0.2251 Sc
-1.0285 -0.3540 0.3320 Tb
-3.2736 -2.5683 -0.8340 Zr
-2.1690 -2.8046 2.3296 Tm



2.
Zr3TiIr | Alexandria via LeMat-Bulk | GGA-PBE | optimized geometry; spin magnetization = 0.0 μB per cell; calculated volume = 109.98 Å³ per cell; SG = Pm-3m, No. 221; formation energy from the elements = 0.897 eV per atom; distance to the lowest polymorph of the same formula = 500 meV/atom
1.0
-1.7528 2.0578 -3.9557
-3.4564 -3.3123 -0.1915
-2.8170 2.7837 2.6963
Zr Ir Ti
3 1 1
Cartesian
-0.8764 1.0289 -1.9779 Zr
-1.4085 1.3918 1.3482 Zr
-1.7282 -1.6561 -0.0958 Zr
-4.0131 0.7646 -0.7255 Ir
0.0000 0.0000 0.0000 Ti



3.
LaPr2Ga | Alexandria via LeMat-Bulk | GGA-PBE | optimized geometry; spin magnetization = 0.0 μB per cell; calculated volume = 118.46 Å³ per cell; SG = P4/mmm, No. 123; formation energy from the elements = -0.244 eV per atom; distance to the lowest polymorph of the same formula = 9 meV/atom
1.0
4.8688 0.0000 0.0000
0.0000 4.9326 0.0000
0.0000 0.0000 4.9326
Ga Pr La
1 2 1
Cartesian
2.4344 2.4663 2.4663 Ga
0.0000 0.0000 2.4663 Pr
0.0000 2.4663 0.0000 Pr
2.4344 0.0000 0.0000 La



4.
KGa6 | Alexandria via LeMat-Bulk | GGA-PBE | optimized geometry; spin magnetization = 0.0 μB per cell; calculated volume = 188.00 Å³ per cell; SG = Im-3m, No. 229; formation energy from the elements = 0.013 eV per atom; distance to the lowest polymorph of the same formula = 99 meV/atom
1.0
6.2506 0.0000 0.0000
-2.0835 5.8931 0.0000
-2.0835 -2.9466 5.1036
Ga K
6 1
Cartesian
3.1253 0.0000 2.5518 Ga
3.1253 2.2099 1.2759 Ga
1.0418 -0.7366 3.8277 Ga
-1.0418 0.7366 3.8277 Ga
-1.0418 2.9466 2.5518 Ga
1.0418 3.6832 1.2759 Ga
0.0000 0.0000 0.0000 K



5.
Cd9Hg2Sb | Alexandria via LeMat-Bulk | GGA-PBE | optimized geometry; spin magnetization = 0.0 μB per cell; calculated volume = 282.85 Å³ per cell; formation energy (no corrections) = 0.96 kcal/mol of atoms; SG = P4/mmm, No. 123
1.0
-4.0513 -1.9163 0.6948
1.9855 -4.0598 0.3800
1.3991 1.9515 13.5405
Cd Hg Sb
9 2 1
Cartesian
-1.0329 -2.9880 0.5374 Cd
-0.8674 0.6574 11.5570 Cd
-1.7848 -0.6222 2.6783 Cd
1.2336 -1.6940 2.5208 Cd
1.6923 -1.0541 6.9602 Cd
2.1510 -0.4143 11.3996 Cd
-0.5650 -2.3353 5.0665 Cd
-1.3261 0.0176 7.1176 Cd
-0.1018 -1.6893 9.5487 Cd
0.4719 0.6583 4.5674 Hg
0.9272 1.2932 8.9731 Hg
0.0000 0.0000 0.0000 Sb



6.
Y2ZrTl | Alexandria via LeMat-Bulk | GGA-PBE | optimized geometry; spin magnetization = 2.1 μB per cell; calculated volume = 229.90 Å³ per cell; SG = I-42d, No. 122; formation energy from the elements = 0.286 eV per atom; distance to the lowest polymorph of the same formula = 420 meV/atom
1.0
-6.7998 -2.7949 4.2433
4.9209 -5.3880 4.3368
-0.4638 -1.8610 6.5214
Y Zr Tl
4 2 2
Cartesian
-1.1229 -4.3871 8.0464 Y
-1.9213 -8.6330 12.4608 Y
-3.8482 -2.9256 4.8853 Y
2.2071 -4.1420 4.8104 Y
1.7588 -5.6702 7.5741 Zr
-0.9394 -4.0914 4.2900 Zr
-4.1015 -4.3736 7.5274 Tl
0.0000 0.0000 0.0000 Tl



The evaluated total energy for the records listed, in turn: -5.92; -7.58; -4.62; -2.74; -1.04; -5.67 eV per atom.